# 1
SnSbW2 | PBE | relaxed

Cell: 7.7198 7.7198 5.6891 Å, 90.00 90.00 90.00°
Space group I-42d (No. 122)
Symmetry-distinct sites (fractional):
Sn 0.0000 0.0000 0.0000 (multiplicity 4)
Sb 0.0000 0.0000 0.5000 (multiplicity 4)
W 0.2315 0.7500 0.6250 (multiplicity 8)

Summary:
Energy   -7.180 eV/atom
Magnetic moment   1.35 μB/f.u.
Energy above the most stable polymorph in this dataset   0.609 eV/atom
Uncorrected formation energy   5.31 eV/f.u.

---

# 2
SnSb3W | PBE | relaxed

Cell: 5.5151 5.5151 5.5151 Å, 90.00 90.00 90.00°
Space group Pm-3m (No. 221)
Symmetry-distinct sites (fractional):
Sn 0.0000 0.0000 0.0000 (multiplicity 1)
Sb 0.0000 0.0000 0.5000 (multiplicity 3)
W 0.5000 0.5000 0.5000 (multiplicity 1)

Summary:
Energy   -4.034 eV/atom
Magnetic moment   3.67 μB/f.u.
Energy above the most stable polymorph in this dataset   1.170 eV/atom
Uncorrected formation energy   9.15 eV/f.u.

---

# 3
Sn2SbW | PBE | relaxed

Cell: 6.4387 6.4387 13.1668 Å, 90.00 90.00 90.00°
Space group I-42d (No. 122)
Symmetry-distinct sites (fractional):
Sn 0.2156 0.2500 0.1250 (multiplicity 8)
Sb 0.0000 0.0000 0.5000 (multiplicity 4)
W 0.0000 0.0000 0.0000 (multiplicity 4)

Summary:
Energy   -5.242 eV/atom
Magnetic moment   1.41 μB/f.u.
Uncorrected formation energy   4.11 eV/f.u.

---

# 4
SnSbW2 | PBE | relaxed

Cell: 6.6621 6.6621 6.6621 Å, 90.00 90.00 90.00°
Space group Fm-3m (No. 225)
Symmetry-distinct sites (fractional):
Sn 0.0000 0.0000 0.0000 (multiplicity 4)
Sb 0.0000 0.0000 0.5000 (multiplicity 4)
W 0.2500 0.2500 0.2500 (multiplicity 8)

Summary:
Energy   -7.788 eV/atom
Magnetic moment   0.00 μB/f.u.
Energy above the most stable polymorph in this dataset   0.000 eV/atom
Uncorrected formation energy   2.88 eV/f.u.

---

# 5
YSn2Sb2 | PBE | relaxed

Cell: 8.0092 8.0092 4.4951 Å, 90.00 90.00 90.00°
Space group P4/mbm (No. 127)
Symmetry-distinct sites (fractional):
Y 0.0000 0.0000 0.0000 (multiplicity 2)
Sn 0.1727 0.3273 0.5000 (multiplicity 4)
Sb 0.1392 0.6392 0.0000 (multiplicity 4)

Summary:
Energy   -4.775 eV/atom
Magnetic moment   0.00 μB/f.u.
Uncorrected formation energy   -1.16 eV/f.u.

---

# 6
Y10Sn3Sb3 | PBE | relaxed

Cell: 8.9816 8.9816 6.4545 Å, 90.00 90.00 120.00°
Space group P-62m (No. 189)
Symmetry-distinct sites (fractional):
Y 0.0000 0.2420 0.0000 (multiplicity 3)
Y 0.0000 0.7574 0.5000 (multiplicity 3)
Y 0.3333 0.6667 0.2501 (multiplicity 4)
Sn 0.0000 0.6076 0.0000 (multiplicity 3)
Sb 0.0000 0.3913 0.5000 (multiplicity 3)

Summary:
Energy   -6.436 eV/atom
Magnetic moment   0.00 μB/f.u.
Uncorrected formation energy   -13.96 eV/f.u.

---

# 7
YSn2Sb | PBE | relaxed

Cell: 8.6242 8.6242 6.2549 Å, 90.00 90.00 90.00°
Space group I-42d (No. 122)
Symmetry-distinct sites (fractional):
Y 0.0000 0.0000 0.0000 (multiplicity 4)
Sn 0.2386 0.2500 0.6250 (multiplicity 8)
Sb 0.0000 0.0000 0.5000 (multiplicity 4)

Summary:
Energy   -4.885 eV/atom
Magnetic moment   0.00 μB/f.u.
Uncorrected formation energy   -0.95 eV/f.u.

---

# 8
YSn2Sb | PBE | relaxed

Cell: 4.5422 4.5422 5.1957 Å, 90.00 90.00 90.00°
Space group P4/mmm (No. 123)
Symmetry-distinct sites (fractional):
Y 0.0000 0.0000 0.0000 (multiplicity 1)
Sn 0.0000 0.5000 0.5000 (multiplicity 2)
Sb 0.5000 0.5000 0.0000 (multiplicity 1)

Summary:
Energy   -5.070 eV/atom
Magnetic moment   0.00 μB/f.u.
Uncorrected formation energy   -1.69 eV/f.u.